[1]
Nb6VRe | Alexandria via LeMat-Bulk | PBE | optimized geometry; volume = 141.5 Å³ per cell; M_tot = 0.0 μB per cell; VASP energy = -0.742 Ry/atom; E_form = 148 meV/atom; polymorph energy (0 for the lowest one) = 249 meV/atom
1.0
4.747 2.740 1.813
-4.747 2.740 1.813
0.000 -5.481 1.813
Nb V Re
6 1 1
direct
0.249 0.750 0.750 Nb
0.250 0.250 0.751 Nb
0.250 0.751 0.250 Nb
0.750 0.249 0.750 Nb
0.750 0.750 0.249 Nb
0.751 0.250 0.250 Nb
0.000 0.000 0.000 V
0.500 0.500 0.500 Re



[2]
Tl2CoHg | Alexandria via LeMat-Bulk | PBE | optimized geometry; volume = 94.5 Å³ per cell; M_tot = 0.3 μB per cell; VASP energy = -0.199 Ry/atom; E_form = 322 meV/atom; polymorph energy (0 for the lowest one) = 13 meV/atom
1.0
-1.538 2.231 6.880
1.538 -2.231 6.880
1.538 2.231 -6.880
Tl Co Hg
2 1 1
direct
0.171 0.171 0.000 Tl
0.829 0.829 0.000 Tl
0.000 0.500 0.500 Co
0.500 0.000 0.500 Hg



[3]
RbMgGaSb2 | Alexandria via LeMat-Bulk | PBE | optimized geometry; E_form (uncorrected) = -379 meV per atom; volume = 162.4 Å³ per cell; M_tot = 0.0 μB per cell; VASP energy = -0.231 Ry/atom
1.0
-2.259 2.259 7.957
2.259 -2.259 7.957
2.259 2.259 -7.957
Rb Mg Ga Sb
1 1 1 2
direct
0.000 0.000 0.000 Rb
0.750 0.250 0.500 Mg
0.250 0.750 0.500 Ga
0.359 0.359 0.000 Sb
0.641 0.641 0.000 Sb



[4]
Li2ReAu | Alexandria via LeMat-Bulk | PBE | optimized geometry; volume = 55.7 Å³ per cell; M_tot = 0.0 μB per cell; VASP energy = -0.333 Ry/atom; E_form = 356 meV/atom; polymorph energy (0 for the lowest one) = 348 meV/atom
1.0
4.598 0.000 0.000
0.000 4.598 0.000
0.000 0.000 2.633
Li Re Au
2 1 1
direct
0.000 0.500 0.000 Li
0.500 0.000 0.000 Li
0.000 0.000 0.500 Re
0.500 0.500 0.500 Au



[5]
Ho2Tm8Hg | Alexandria via LeMat-Bulk | PBE | optimized geometry; volume = 325.4 Å³ per cell; M_tot = 0.0 μB per cell; VASP energy = -0.306 Ry/atom; E_form = -49 meV/atom
1.0
9.550 -2.730 0.000
9.550 2.730 0.000
-0.614 0.000 6.241
Ho Tm Hg
2 8 1
direct
0.244 0.244 0.331 Ho
0.756 0.756 0.669 Ho
0.045 0.045 0.267 Tm
0.155 0.155 0.799 Tm
0.341 0.341 0.874 Tm
0.422 0.422 0.396 Tm
0.578 0.578 0.604 Tm
0.659 0.659 0.126 Tm
0.845 0.845 0.201 Tm
0.955 0.955 0.733 Tm
0.500 0.500 0.000 Hg



[6]
AlTl2Os | Alexandria via LeMat-Bulk | PBE | optimized geometry; volume = 84.8 Å³ per cell; M_tot = 0.0 μB per cell; VASP energy = -0.302 Ry/atom; E_form = 823 meV/atom; polymorph energy (0 for the lowest one) = 584 meV/atom
1.0
1.557 -2.618 0.000
1.557 2.618 0.000
0.000 0.000 10.407
Al Tl Os
1 2 1
direct
0.000 0.000 0.000 Al
0.500 0.500 0.270 Tl
0.500 0.500 0.730 Tl
0.000 0.000 0.500 Os



[7]
TiVIn2W | Alexandria via LeMat-Bulk | PBE | optimized geometry; volume = 125.3 Å³ per cell; M_tot = 0.1 μB per cell; VASP energy = -0.421 Ry/atom; E_form = 1367 meV/atom
1.0
5.226 0.000 0.000
0.000 5.226 0.000
0.000 0.000 4.586
Ti V In W
1 1 2 1
direct
0.000 0.000 0.000 Ti
0.500 0.500 0.000 V
0.000 0.500 0.500 In
0.500 0.000 0.500 In
0.000 0.000 0.500 W



[8]
KBi2Pb3Se6 | Alexandria via LeMat-Bulk | PBE | optimized geometry; E_form (uncorrected) = -548 meV per atom; volume = 363.8 Å³ per cell; M_tot = 0.0 μB per cell; VASP energy = -0.291 Ry/atom
1.0
9.539 -2.195 0.000
9.539 2.195 0.000
-1.925 0.000 8.690
K Bi Pb Se
1 2 3 6
direct
0.000 0.000 0.000 K
0.338 0.338 0.667 Bi
0.662 0.662 0.333 Bi
0.000 0.000 0.500 Pb
0.334 0.334 0.172 Pb
0.666 0.666 0.828 Pb
0.169 0.169 0.587 Se
0.176 0.176 0.112 Se
0.489 0.489 0.733 Se
0.511 0.511 0.267 Se
0.824 0.824 0.888 Se
0.831 0.831 0.413 Se



[9]
NdSm3DyHo | Alexandria via LeMat-Bulk | PBE | optimized geometry; volume = 397.4 Å³ per cell; M_tot = 0.0 μB per cell; VASP energy = -0.343 Ry/atom; E_form = 17 meV/atom
1.0
2.543 -7.651 0.000
2.543 7.651 0.000
0.000 0.000 10.212
Nd Sm Dy Ho
2 6 2 2
direct
0.001 0.999 0.750 Nd
0.999 0.001 0.250 Nd
0.166 0.834 0.000 Sm
0.166 0.834 0.500 Sm
0.332 0.668 0.750 Sm
0.668 0.332 0.250 Sm
0.834 0.166 0.000 Sm
0.834 0.166 0.500 Sm
0.500 0.500 0.000 Dy
0.500 0.500 0.500 Dy
0.333 0.667 0.250 Ho
0.667 0.333 0.750 Ho



[10]
SrNiRh4 | Alexandria via LeMat-Bulk | PBE | optimized geometry; volume = 104.7 Å³ per cell; M_tot = 3.3 μB per cell; VASP energy = -0.435 Ry/atom; E_form = 223 meV/atom
1.0
0.000 3.741 3.741
3.741 0.000 3.741
3.741 3.741 0.000
Sr Ni Rh
1 1 4
direct
0.000 0.000 0.000 Sr
0.750 0.750 0.750 Ni
0.376 0.376 0.376 Rh
0.376 0.376 0.873 Rh
0.376 0.873 0.376 Rh
0.873 0.376 0.376 Rh